(1)
Sm2TePRh6 | PBE | optimized geometry

a b c (Å): 5.8710 8.7334 7.6066
angles (deg): 90.00 90.00 90.00
Space group Pmmn (No. 59, origin choice 2)
Asymmetric unit:
1 Sm 0.2500 0.0164 0.2380
2 Te 0.2500 0.7500 0.7908
3 P 0.2500 0.2500 0.7233
4 Rh 0.0138 0.7500 0.0712
5 Rh 0.0182 0.7500 0.4856
6 Rh 0.2500 0.0023 0.6220

- Formation energy without anion corrections: -62 kJ per mole of atoms
- E_tot: -6.85 eV/atom

---

(2)
Sm6Te3PRh2 | PBE | optimized geometry

a b c (Å): 7.3139 12.6694 7.6973
angles (deg): 90.00 108.67 90.00
Space group C2/m (No. 12)
Asymmetric unit:
1 Sm 0.2346 0.0000 0.2114
2 Sm 0.2376 0.3317 0.2117
3 Te 0.0000 0.0000 0.5000
4 Te 0.0000 0.3350 0.5000
5 P 0.0000 0.5000 0.0000
6 Rh 0.0000 0.1671 0.0000

- Formation energy without anion corrections: -113 kJ per mole of atoms
- E_tot: -6.00 eV/atom